Computed, not measured: an optimized crystal structure of La5Dy2HoEr at the PBE level of DFT.

Results
Its formation energy is 0.2966 eV/atom. The calculation puts the density of states at the Fermi level at 1.5344 states/eV/atom.

Cell: 8.0826 8.0826 19.7330 Å, 90.00 90.00 90.00°
With the nearest neighbours (Å) after each atom.
Space group I4/mcm (No. 140)
Unique sites:
La 0.0000 0.0000 0.0000 x4  4 Dy 3.18
La 0.2118 0.2882 0.1349 x16  1 Dy 3.23, 1 Er 3.32
Dy 0.1288 0.3712 0.5000 x8  1 Dy 2.94, 4 La 3.18-3.23
Ho 0.0000 0.0000 0.2500 x4  8 La 3.68, 4 Er 4.04
Er 0.0000 0.5000 0.2500 x4  4 La 3.32